Entry from Alexandria: a geometry-optimized RbTiCrO4 structure (PBE+U).

abc: 5.4320 5.5800 7.3388
angles: 90.00 99.51 90.00
With the nearest neighbours (Å) after each atom.
Positions (direct):
Rb1 0.1622 0.2500 0.0998  5 O 2.76-2.98
Rb2 0.8378 0.7500 0.9002  5 O 2.76-2.98
Ti1 0.3874 0.2500 0.6492  4 O 1.79-1.90
Ti2 0.6126 0.7500 0.3508  4 O 1.79-1.90
Cr1 0.1403 0.7500 0.4672  6 O 2.03-2.20
Cr2 0.8597 0.2500 0.5328  6 O 2.03-2.20
O1 0.1360 0.0160 0.6614  1 Ti 1.90, 2 Cr 2.06-2.09
O2 0.1360 0.4840 0.6614  1 Ti 1.90, 2 Cr 2.06-2.09
O3 0.3047 0.7500 0.2131  1 Ti 1.81
O4 0.4897 0.2500 0.4299  1 Ti 1.79
O5 0.5103 0.7500 0.5701  1 Ti 1.79
O6 0.6953 0.2500 0.7869  1 Ti 1.81
O7 0.8640 0.5160 0.3386  1 Ti 1.90, 2 Cr 2.06-2.09
O8 0.8640 0.9840 0.3386  1 Ti 1.90, 2 Cr 2.06-2.09

Calculated values
total DFT energy (no corrections): -102.9 eV per cell